Entry 1:
A plane-wave DFT calculation with PBE was carried out for a relaxed structure of Ti2Cu2Ge.

Values from the calculation:
DFT total energy: -0.208 Ha/atom
E above lowest polymorph: 245 meV per atom
formation enthalpy at 0 K: 63 meV/atom
magnetic moment: 0.00 μB/atom

Lattice parameters (Å, degrees): 6.9671 6.9671 3.2688 90.00 90.00 90.00
Fractional positions:
Ti 0.1643 0.3357 0.0000
Ti 0.3357 0.8357 0.0000
Ti 0.6643 0.1643 0.0000
Ti 0.8357 0.6643 0.0000
Cu 0.1291 0.6291 0.5000
Cu 0.3709 0.1291 0.5000
Cu 0.6291 0.8709 0.5000
Cu 0.8709 0.3709 0.5000
Ge 0.0000 0.0000 0.0000
Ge 0.5000 0.5000 0.0000


Entry 2:
A plane-wave DFT calculation with PBE was carried out for a relaxed structure of NaLi2AcBi2.

Values from the calculation:
DFT total energy: -0.130 Ha/atom
formation enthalpy at 0 K: -692 meV/atom
magnetic moment: 0.00 μB/atom

Lattice parameters (Å, degrees): 4.9102 4.9102 7.9649 90.00 90.00 120.00
Fractional positions:
Na 0.0000 0.0000 0.0000
Li 0.3333 0.6667 0.1512
Li 0.6667 0.3333 0.8488
Ac 0.0000 0.0000 0.5000
Bi 0.3333 0.6667 0.7558
Bi 0.6667 0.3333 0.2442


Entry 3:
A plane-wave DFT calculation with PBE was carried out for a relaxed structure of TcAs5.

Values from the calculation:
DFT total energy: -0.175 Ha/atom
E above lowest polymorph: 787 meV per atom
formation enthalpy at 0 K: 840 meV/atom
magnetic moment: 0.30 μB/atom

Lattice parameters (Å, degrees): 5.0649 5.0649 5.5549 90.00 90.00 120.00
Fractional positions:
Tc 0.0000 0.0000 0.0000
As 0.0000 0.5000 0.5000
As 0.3333 0.6667 0.0000
As 0.5000 0.0000 0.5000
As 0.5000 0.5000 0.5000
As 0.6667 0.3333 0.0000


Entry 4:
A plane-wave DFT calculation with PBE was carried out for a relaxed structure of YSeS2.

Values from the calculation:
DFT total energy: -0.203 Ha/atom
E above lowest polymorph: 45 meV per atom
uncorrected formation energy: -3.879 eV per formula unit
magnetic moment: 0.00 μB/atom

Lattice parameters (Å, degrees): 4.3039 4.3149 9.4181 90.00 90.07 90.00
Fractional positions:
Y 0.2490 0.2500 0.1958
Y 0.7510 0.7500 0.8042
Se 0.2500 0.2500 0.8867
Se 0.7500 0.7500 0.1133
S 0.2492 0.7500 0.3957
S 0.2506 0.7500 0.6042
S 0.7494 0.2500 0.3958
S 0.7508 0.2500 0.6043


Entry 5:
A plane-wave DFT calculation with PBE was carried out for a relaxed structure of Ac2Sm3Au4.

Values from the calculation:
DFT total energy: -0.171 Ha/atom
formation enthalpy at 0 K: -724 meV/atom
magnetic moment: 0.00 μB/atom

Lattice parameters (Å, degrees): 8.0472 7.9133 8.7302 90.00 110.12 90.00
Fractional positions:
Ac 0.1949 0.1711 0.0932
Ac 0.1949 0.3289 0.5932
Ac 0.8051 0.6711 0.4068
Ac 0.8051 0.8289 0.9068
Sm 0.2450 0.6505 0.2515
Sm 0.2450 0.8495 0.7515
Sm 0.5000 0.0000 0.5000
Sm 0.5000 0.5000 0.0000
Sm 0.7550 0.1505 0.2485
Sm 0.7550 0.3495 0.7485
Au 0.0989 0.5472 0.8811
Au 0.0989 0.9528 0.3811
Au 0.4859 0.6343 0.6224
Au 0.4859 0.8657 0.1224
Au 0.5141 0.1343 0.8776
Au 0.5141 0.3657 0.3776
Au 0.9011 0.0472 0.6189
Au 0.9011 0.4528 0.1189


Entry 6:
A plane-wave DFT calculation with PBE was carried out for a relaxed structure of CsTbCuCl5.

Values from the calculation:
DFT total energy: -0.151 Ha/atom
uncorrected formation energy: -14.030 eV per formula unit
magnetic moment: 0.02 μB/atom

Lattice parameters (Å, degrees): 7.5858 7.5858 10.1454 103.67 103.67 106.08
Fractional positions:
Cs 0.1549 0.8451 0.7500
Cs 0.8451 0.1549 0.2500
Tb 0.5000 0.5000 0.0000
Tb 0.5000 0.5000 0.5000
Cu 0.1924 0.8076 0.2500
Cu 0.8076 0.1924 0.7500
Cl 0.1261 0.2769 0.9138
Cl 0.2047 0.6089 0.3951
Cl 0.2769 0.1261 0.4138
Cl 0.3911 0.7953 0.1049
Cl 0.4338 0.5662 0.7500
Cl 0.5662 0.4338 0.2500
Cl 0.6089 0.2047 0.8951
Cl 0.7231 0.8739 0.5862
Cl 0.7953 0.3911 0.6049
Cl 0.8739 0.7231 0.0862


Entry 7:
A plane-wave DFT calculation with PBE was carried out for a relaxed structure of CeScTlPb.

Values from the calculation:
DFT total energy: -0.179 Ha/atom
formation enthalpy at 0 K: -277 meV/atom
magnetic moment: 0.28 μB/atom

Lattice parameters (Å, degrees): 5.3510 5.3510 5.3510 60.00 60.00 60.00
Fractional positions:
Ce 0.0000 0.0000 0.0000
Sc 0.5000 0.5000 0.5000
Tl 0.2500 0.2500 0.2500
Pb 0.7500 0.7500 0.7500


Entry 8:
A plane-wave DFT calculation with PBE was carried out for a relaxed structure of KCa2YTe.

Values from the calculation:
DFT total energy: -0.114 Ha/atom
uncorrected formation energy: -0.792 eV per formula unit
magnetic moment: 0.40 μB/atom

Lattice parameters (Å, degrees): 6.1332 6.1332 5.9326 90.00 90.00 90.00
Fractional positions:
K 0.0000 0.0000 0.0000
Ca 0.0000 0.5000 0.5000
Ca 0.5000 0.0000 0.5000
Y 0.5000 0.5000 0.0000
Te 0.5000 0.5000 0.5000


Entry 9:
A plane-wave DFT calculation with PBE was carried out for a relaxed structure of BaCeCl6.

Values from the calculation:
DFT total energy: -0.166 Ha/atom
uncorrected formation energy: -17.146 eV per formula unit
magnetic moment: 0.00 μB/atom

Lattice parameters (Å, degrees): 7.4868 7.4868 7.4910 117.58 117.58 65.61
Fractional positions:
Ba 0.0000 0.0000 0.0000
Ce 0.5000 0.5000 0.5000
Cl 0.1971 0.6550 0.2038
Cl 0.2693 0.2693 0.4267
Cl 0.3450 0.8029 0.7962
Cl 0.6550 0.1971 0.2038
Cl 0.7307 0.7307 0.5733
Cl 0.8029 0.3450 0.7962


Entry 10:
A plane-wave DFT calculation with PBE was carried out for a relaxed structure of AlTc2Se.

Values from the calculation:
DFT total energy: -0.254 Ha/atom
E above lowest polymorph: 168 meV per atom
uncorrected formation energy: 0.340 eV per formula unit
magnetic moment: 0.00 μB/atom

Lattice parameters (Å, degrees): 4.4575 4.4575 5.0232 100.59 100.59 38.26
Fractional positions:
Al 0.0000 0.0000 0.0000
Tc 0.2571 0.2571 0.7401
Tc 0.7429 0.7429 0.2599
Se 0.5000 0.5000 0.5000


Entry 11:
A plane-wave DFT calculation with PBE was carried out for a relaxed structure of K2YBe2S4.

Values from the calculation:
DFT total energy: -0.178 Ha/atom
uncorrected formation energy: -10.952 eV per formula unit
magnetic moment: 0.00 μB/atom

Lattice parameters (Å, degrees): 7.5315 7.5315 7.8578 111.53 111.53 28.27
Fractional positions:
K 0.1273 0.1273 0.0491
K 0.8727 0.8727 0.9509
Y 0.0000 0.0000 0.5000
Be 0.3287 0.3287 0.5244
Be 0.6713 0.6713 0.4756
S 0.2078 0.2078 0.6412
S 0.4671 0.4671 0.7346
S 0.5329 0.5329 0.2654
S 0.7922 0.7922 0.3588


Entry 12:
A plane-wave DFT calculation with PBE was carried out for a relaxed structure of CeScNi.

Values from the calculation:
DFT total energy: -0.232 Ha/atom
E above lowest polymorph: 0 meV per atom
formation enthalpy at 0 K: -298 meV/atom
magnetic moment: 0.00 μB/atom

Lattice parameters (Å, degrees): 3.2922 4.3521 8.5402 90.00 101.10 90.00
Fractional positions:
Ce 0.2042 0.2500 0.4110
Ce 0.7958 0.7500 0.5890
Sc 0.4247 0.2500 0.8488
Sc 0.5753 0.7500 0.1512
Ni 0.0470 0.2500 0.0931
Ni 0.9530 0.7500 0.9069


Entry 13:
A plane-wave DFT calculation with PBE was carried out for a relaxed structure of FeCoRh.

Values from the calculation:
DFT total energy: -0.281 Ha/atom
E above lowest polymorph: 0 meV per atom
formation enthalpy at 0 K: 6 meV/atom
magnetic moment: 1.90 μB/atom

Lattice parameters (Å, degrees): 4.9308 4.9308 4.9308 145.58 145.58 49.47
Fractional positions:
Fe 0.0000 0.0000 0.0000
Co 0.6450 0.6450 0.0000
Rh 0.3271 0.3271 0.0000


Entry 14:
A plane-wave DFT calculation with PBE was carried out for a relaxed structure of Na2LaCl2.

Values from the calculation:
DFT total energy: -0.118 Ha/atom
E above lowest polymorph: 113 meV per atom
uncorrected formation energy: -4.756 eV per formula unit
magnetic moment: 0.00 μB/atom

Lattice parameters (Å, degrees): 9.3738 9.3738 9.3738 155.94 155.94 34.29
Fractional positions:
Na 0.2500 0.7500 0.5000
Na 0.7500 0.2500 0.5000
La 0.0000 0.0000 0.0000
Cl 0.4140 0.4140 0.0000
Cl 0.5860 0.5860 0.0000